Below is crystalline LaTa2Be at its relaxed geometry, with properties calculated at the PBEsol level.

Calculated values
Formation energy   608 meV per atom
Calculated density   11.4 g cm⁻³

Cell lengths 3.311, 4.659, 4.821 Å; angles 90.00, 90.00, 90.00 degrees
Element x y z (fractional)
Ta 0.500 0.000 0.500
Be 0.500 0.500 0.000
Ta 0.000 0.000 0.000
La 0.000 0.500 0.500



Below is crystalline LaBeTc2 at its relaxed geometry, with properties calculated at the PBEsol level.

Calculated values
Formation energy   34 meV per atom
Calculated density   7.4 g cm⁻³

Cell lengths 4.132, 4.132, 5.750 Å; angles 68.94, 68.94, 60.00 degrees
Element x y z (fractional)
La 0.750 0.750 0.749
Be 0.558 0.558 0.326
Tc 0.249 0.249 0.253
Tc 0.944 0.944 0.169



Below is crystalline La2BeTc at its relaxed geometry, with properties calculated at the PBEsol level.

Calculated values
Formation energy   144 meV per atom
Calculated density   7.7 g cm⁻³

Cell lengths 3.567, 4.817, 5.701 Å; angles 114.99, 108.23, 90.00 degrees
Element x y z (fractional)
La 0.773 0.273 0.545
Be 0.197 0.697 0.394
Tc 0.551 0.551 0.103
La 0.979 0.979 0.958



Below is crystalline La2BeTc at its relaxed geometry, with properties calculated at the PBEsol level.

Calculated values
Formation energy   108 meV per atom
Calculated density   7.0 g cm⁻³

Cell lengths 3.984, 4.202, 5.857 Å; angles 111.02, 90.00, 90.00 degrees
Element x y z (fractional)
La 0.500 0.262 0.523
Be 0.500 0.573 0.146
La 0.000 0.985 0.971
Tc 0.000 0.681 0.363